(1)
Compound: Li4Mg3Cu
Source: Alexandria via LeMat-Bulk
Functional: PBE
Structure: relaxed

Properties
ΔE to the lowest computed polymorph, meV/atom: 0
Calculated volume, Å³ per cell: 148.0
Formation energy, eV per formula unit: -0.38
Crystal system: monoclinic

Cell: 9.8972 9.8972 4.7424 Å, 100.92 100.92 18.95°
Closest atoms and distances in Å follow each position.
Atoms (fractional coordinates):
Li (0.1298, 0.1298, 0.1120)  6 Mg 2.89-2.97, 3 Li 2.90-3.10
Li (0.2453, 0.2453, 0.7445)  7 Li 2.87-3.10, 2 Mg 3.02
Li (0.7547, 0.7547, 0.2555)  7 Li 2.87-3.10, 2 Mg 3.02
Li (0.8702, 0.8702, 0.8880)  6 Mg 2.89-2.97, 3 Li 2.90-3.10
Mg (0.3867, 0.3867, 0.4025)  2 Cu 2.71, 6 Li 2.89-3.02
Mg (0.5000, 0.5000, 0.0000)  4 Cu 2.88, 4 Li 2.97, 2 Mg 3.19
Mg (0.6133, 0.6133, 0.5975)  2 Cu 2.71, 6 Li 2.89-3.02
Cu (0.0000, 0.0000, 0.5000)  8 Mg 2.71-2.88

(2)
Compound: Be3IrS
Source: Alexandria via LeMat-Bulk
Functional: PBE
Structure: relaxed

Properties
ΔE to the lowest computed polymorph, meV/atom: 0
Formation energy from raw total energies, eV per formula unit: 2.8
Calculated volume, Å³ per cell: 76.5
Crystal system: cubic

Cell: 4.2455 4.2455 4.2455 Å, 90.00 90.00 90.00°
Closest atoms and distances in Å follow each position.
Atoms (fractional coordinates):
Be (0.0000, 0.0000, 0.5000)  2 Ir 2.12
Be (0.0000, 0.5000, 0.0000)  2 Ir 2.12
Be (0.5000, 0.0000, 0.0000)  2 Ir 2.12
Ir (0.0000, 0.0000, 0.0000)  6 Be 2.12
S (0.5000, 0.5000, 0.5000)  12 Be 3.00

(3)
Compound: MnBeRe2
Source: Alexandria via LeMat-Bulk
Functional: PBE
Structure: relaxed

Properties
Calculated volume, Å³ per cell: 49.9
Formation energy, eV per formula unit: 0.59
Crystal system: orthorhombic

Cell: 4.2419 4.2419 2.7713 Å, 90.00 90.00 90.07°
Closest atoms and distances in Å follow each position.
Atoms (fractional coordinates):
Mn (0.0000, 0.0000, 0.0000)  8 Re 2.53, 2 Mn 2.77
Be (0.5000, 0.5000, 0.0000)  8 Re 2.53, 2 Be 2.77
Re (0.0000, 0.5000, 0.5000)  4 Be 2.53, 4 Mn 2.53, 2 Re 2.77
Re (0.5000, 0.0000, 0.5000)  4 Be 2.53, 4 Mn 2.53, 2 Re 2.77

(4)
Compound: NaTi2GaO6
Source: Alexandria via LeMat-Bulk
Functional: PBE
Structure: relaxed

Properties
Formation energy from raw total energies, eV per formula unit: -25.7
Calculated volume, Å³ per cell: 287.7
Crystal system: monoclinic

Cell: 7.2457 7.2457 6.0568 Å, 105.44 105.44 98.11°
Closest atoms and distances in Å follow each position.
Atoms (fractional coordinates):
Na (0.1040, 0.8960, 0.7500)  6 O 2.47-2.56
Na (0.8960, 0.1040, 0.2500)  6 O 2.47-2.56
Ti (0.2669, 0.4291, 0.8234)  4 O 1.81-1.89
Ti (0.4291, 0.2669, 0.3234)  4 O 1.81-1.89
Ti (0.5709, 0.7331, 0.6766)  4 O 1.81-1.89
Ti (0.7331, 0.5709, 0.1766)  4 O 1.81-1.89
Ga (0.1906, 0.8094, 0.2500)  4 O 1.85-1.87
Ga (0.8094, 0.1906, 0.7500)  4 O 1.85-1.87
O (0.0506, 0.2235, 0.6926)  1 Ti 1.83, 1 Ga 1.87
O (0.1760, 0.6374, 0.9567)  1 Ti 1.81, 1 Ga 1.85
O (0.2235, 0.0506, 0.1926)  1 Ti 1.83, 1 Ga 1.87
O (0.3353, 0.4270, 0.5423)  2 Ti 1.86-1.89
O (0.3626, 0.8240, 0.5433)  1 Ti 1.81, 1 Ga 1.85
O (0.4270, 0.3353, 0.0423)  2 Ti 1.86-1.89
O (0.5730, 0.6647, 0.9577)  2 Ti 1.86-1.89
O (0.6374, 0.1760, 0.4567)  1 Ti 1.81, 1 Ga 1.85
O (0.6647, 0.5730, 0.4577)  2 Ti 1.86-1.89
O (0.7765, 0.9494, 0.8074)  1 Ti 1.83, 1 Ga 1.87
O (0.8240, 0.3626, 0.0433)  1 Ti 1.81, 1 Ga 1.85
O (0.9494, 0.7765, 0.3074)  1 Ti 1.83, 1 Ga 1.87

(5)
Compound: TaAgMo2
Source: Alexandria via LeMat-Bulk
Functional: PBE
Structure: relaxed

Properties
ΔE to the lowest computed polymorph, meV/atom: 107
Calculated volume, Å³ per cell: 67.4
Formation energy, eV per formula unit: 1.11
Crystal system: monoclinic

Cell: 2.7201 4.5484 5.5526 Å, 90.00 101.11 90.00°
Closest atoms and distances in Å follow each position.
Atoms (fractional coordinates):
Ta (0.0000, 0.0000, 0.0000)  2 Ta 2.72, 4 Mo 2.74-2.96, 2 Ag 2.86
Ag (0.7237, 0.5000, 0.2576)  2 Ag 2.72, 4 Mo 2.83-2.89, 2 Ta 2.86
Mo (0.2462, 0.5000, 0.7501)  4 Mo 2.70-2.72, 2 Ta 2.81, 2 Ag 2.83-2.87
Mo (0.4614, 0.0000, 0.5285)  4 Mo 2.70-2.72, 2 Ta 2.74-2.96, 2 Ag 2.89

(6)
Compound: TiSiSb2I
Source: Alexandria via LeMat-Bulk
Functional: PBE
Structure: relaxed

Properties
ΔE to the lowest computed polymorph, meV/atom: 0
Formation energy from raw total energies, eV per formula unit: 3.0
Calculated volume, Å³ per cell: 151.0
Crystal system: tetragonal

Cell: 5.3762 5.3762 5.2254 Å, 90.00 90.00 90.00°
Closest atoms and distances in Å follow each position.
Atoms (fractional coordinates):
Ti (0.0000, 0.0000, 0.0000)  2 I 2.61, 4 Sb 2.69
Si (0.5000, 0.5000, 0.5000)  8 Sb 3.75, 4 I 3.80
Sb (0.0000, 0.5000, 0.0000)  2 Ti 2.69
Sb (0.5000, 0.0000, 0.0000)  2 Ti 2.69
I (0.0000, 0.0000, 0.5000)  2 Ti 2.61

(7)
Compound: YH2PtBr
Source: Alexandria via LeMat-Bulk
Functional: PBE
Structure: relaxed

Properties
Calculated volume, Å³ per cell: 92.4
Crystal system: tetragonal
E, eV for the cell shown: -21.5

Cell: 4.0199 4.0199 5.7198 Å, 90.00 90.00 90.00°
Closest atoms and distances in Å follow each position.
Atoms (fractional coordinates):
Y (0.0000, 0.0000, 0.0000)  4 H 2.01
H (0.0000, 0.5000, 0.0000)  2 Y 2.01
H (0.5000, 0.0000, 0.0000)  2 Y 2.01
Pt (0.0000, 0.0000, 0.5000)  4 Br 2.84, 2 Y 2.86
Br (0.5000, 0.5000, 0.5000)  4 Pt 2.84

(8)
Compound: EuTl2Cd
Source: Alexandria via LeMat-Bulk
Functional: PBE
Structure: relaxed

Properties
ΔE to the lowest computed polymorph, meV/atom: 0
Calculated volume, Å³ per cell: 111.6
Formation energy, eV per formula unit: -1.09
Crystal system: cubic

Cell: 5.4035 5.4035 5.4035 Å, 60.00 60.00 60.00°
Closest atoms and distances in Å follow each position.
Atoms (fractional coordinates):
Eu (0.0000, 0.0000, 0.0000)  8 Tl 3.31
Tl (0.2500, 0.2500, 0.2500)  4 Cd 3.31, 4 Eu 3.31
Tl (0.7500, 0.7500, 0.7500)  4 Cd 3.31, 4 Eu 3.31
Cd (0.5000, 0.5000, 0.5000)  8 Tl 3.31